SrScSi2Pt | meta-GGA SCAN | single point on PBEsol structure

density	4.85	g/cm³
formation energy from raw total energies	1.0405	eV per atom
density of states at the Fermi level	0.808	states/eV per atom
uncorrected energy	-24.31	eV per atom

Cell: 4.846 4.846 5.600 Å, 90.00 90.00 90.00°
Fractional coordinates of all 5 atoms:
Sc1 0.000 0.000 0.000
Pt1 0.500 0.500 0.500
Sr1 0.000 0.000 0.500
Si1 0.500 0.000 0.000
Si2 0.000 0.500 0.000